# 1
# Be2AgBr, relaxed, DFT PBE
data_Be2AgBr
_chemical_formula_sum 'Be2 Ag1 Br1'
_cell_length_a 3.178
_cell_length_b 3.178
_cell_length_c 6.965
_cell_angle_alpha 90.00
_cell_angle_beta 90.00
_cell_angle_gamma 90.00
_space_group_name_H-M_alt 'P 1'
_space_group_IT_number 1
loop_
_space_group_symop_operation_xyz
'x,y,z'
loop_
_atom_site_label
_atom_site_fract_x
_atom_site_fract_y
_atom_site_fract_z
Ag1 0.500 0.500 0.887
Be1 0.000 0.000 0.022
Be2 0.500 0.500 0.213
Br1 0.000 0.000 0.378
# Formation energy (no corrections): 34.92 kJ/mol of atoms
# Energy above the lowest structure with this stoichiometry: 184 meV/atom
# Uncorrected energy: -2.632 eV per atom

# 2
# Dy6Er5, relaxed, DFT PBE
data_Dy6Er5
_chemical_formula_sum 'Dy6 Er5'
_cell_length_a 9.090
_cell_length_b 7.882
_cell_length_c 6.209
_cell_angle_alpha 79.90
_cell_angle_beta 72.29
_cell_angle_gamma 54.79
_space_group_name_H-M_alt 'P 1'
_space_group_IT_number 1
loop_
_space_group_symop_operation_xyz
'x,y,z'
loop_
_atom_site_label
_atom_site_fract_x
_atom_site_fract_y
_atom_site_fract_z
Dy1 0.831 0.000 0.681
Dy2 0.169 0.000 0.319
Dy3 0.685 0.268 0.167
Dy4 0.954 0.732 0.167
Dy5 0.046 0.268 0.833
Dy6 0.315 0.732 0.833
Er1 0.500 0.000 0.500
Er2 0.628 0.745 0.000
Er3 0.241 0.518 0.500
Er4 0.372 0.255 0.000
Er5 0.759 0.482 0.500
# ΔH_f (0 K): 0.142 eV/atom
# Uncorrected energy: -4.443 eV per atom

# 3
# TeAuF2, relaxed, DFT PBE
data_TeAuF2
_chemical_formula_sum 'Te1 Au1 F2'
_cell_length_a 9.550
_cell_length_b 9.550
_cell_length_c 9.550
_cell_angle_alpha 18.77
_cell_angle_beta 18.77
_cell_angle_gamma 18.77
_space_group_name_H-M_alt 'P 1'
_space_group_IT_number 1
loop_
_space_group_symop_operation_xyz
'x,y,z'
loop_
_atom_site_label
_atom_site_fract_x
_atom_site_fract_y
_atom_site_fract_z
F1 0.071 0.071 0.071
F2 0.929 0.929 0.929
Te1 0.000 0.000 0.000
Au1 0.500 0.500 0.500
# Formation energy (no corrections): -78.21 kJ/mol of atoms
# Energy above the lowest structure with this stoichiometry: 0 meV/atom
# Uncorrected energy: -3.351 eV per atom

# 4
# Ba3AgPd3, relaxed, DFT PBE
data_Ba3AgPd3
_chemical_formula_sum 'Ba6 Ag2 Pd6'
_cell_length_a 4.627
_cell_length_b 6.432
_cell_length_c 15.158
_cell_angle_alpha 85.81
_cell_angle_beta 81.22
_cell_angle_gamma 68.92
_space_group_name_H-M_alt 'P 1'
_space_group_IT_number 1
loop_
_space_group_symop_operation_xyz
'x,y,z'
loop_
_atom_site_label
_atom_site_fract_x
_atom_site_fract_y
_atom_site_fract_z
Ba1 0.531 0.324 0.614
Ba2 0.469 0.676 0.386
Ba3 0.602 0.719 0.076
Ba4 0.744 0.745 0.767
Ba5 0.256 0.255 0.233
Ba6 0.398 0.281 0.924
Pd1 0.106 0.865 0.922
Pd2 0.894 0.135 0.078
Pd3 0.040 0.151 0.769
Pd4 0.960 0.849 0.231
Pd5 0.124 0.294 0.459
Pd6 0.876 0.706 0.541
Ag1 0.760 0.078 0.403
Ag2 0.240 0.922 0.597
# ΔH_f (0 K): -0.454 eV/atom
# Uncorrected energy: -3.911 eV per atom

# 5
# AcZrPb2, relaxed, DFT PBE
data_AcZrPb2
_chemical_formula_sum 'Ac1 Zr1 Pb2'
_cell_length_a 3.391
_cell_length_b 5.934
_cell_length_c 5.934
_cell_angle_alpha 90.00
_cell_angle_beta 90.00
_cell_angle_gamma 90.00
_space_group_name_H-M_alt 'P 1'
_space_group_IT_number 1
loop_
_space_group_symop_operation_xyz
'x,y,z'
loop_
_atom_site_label
_atom_site_fract_x
_atom_site_fract_y
_atom_site_fract_z
Zr1 0.500 0.000 0.000
Pb1 0.000 0.500 0.000
Pb2 0.000 0.000 0.500
Ac1 0.500 0.500 0.500
# ΔH_f (0 K): -0.079 eV/atom
# Uncorrected energy: -5.097 eV per atom

# 6
# YGe2Rh, relaxed, DFT PBE
data_YGe2Rh
_chemical_formula_sum 'Y2 Ge4 Rh2'
_cell_length_a 4.404
_cell_length_b 4.404
_cell_length_c 9.306
_cell_angle_alpha 76.31
_cell_angle_beta 76.31
_cell_angle_gamma 90.00
_space_group_name_H-M_alt 'P 1'
_space_group_IT_number 1
loop_
_space_group_symop_operation_xyz
'x,y,z'
loop_
_atom_site_label
_atom_site_fract_x
_atom_site_fract_y
_atom_site_fract_z
Y1 0.250 0.750 0.500
Y2 0.500 0.500 0.000
Ge1 0.016 0.625 0.250
Ge2 0.375 0.266 0.750
Ge3 0.734 0.125 0.250
Ge4 0.875 0.984 0.750
Rh1 0.000 0.000 0.000
Rh2 0.750 0.250 0.500
# ΔH_f (0 K): -0.432 eV/atom
# Uncorrected energy: -6.195 eV per atom

no.,mass density (g/cm³)
1,4.9
2,8.7
3,7.6
4,6.7
5,10.2
6,6.6